[1]
## AlMoSe2 (PBE-GGA)

Data for a geometry-optimized AlMoSe2 structure.

Output
**Uncorrected energy**: -5.2869 eV per atom
**Total moment**: 1.1 μB/f.u.
**V**: 186.0 Å³/cell
**SG**: I-42d (122)

a = 5.8857 Å, b = 5.8857 Å, c = 6.7925 Å
α = 64.33°, β = 64.33°, γ = 90.00°
Each line ends with the local moment (μB).
Fractional positions:
Mo 0.7500 0.2500 0.5000  0.95
Mo 0.0000 0.0000 0.0000  0.94
Se 0.1335 0.6250 0.2500  0.00
Se 0.8750 0.8665 0.7500  0.00
Se 0.3750 0.3835 0.7500  0.00
Se 0.6165 0.1250 0.2500  0.00
Al 0.2500 0.7500 0.5000  0.01
Al 0.5000 0.5000 0.0000  0.01

---

[2]
## AlMoSe2 (PBE-GGA)

Data for a geometry-optimized AlMoSe2 structure.

Output
**Uncorrected energy**: -5.1382 eV per atom
**Total moment**: 0.0 μB/f.u.
**V**: 76.3 Å³/cell
**SG**: P2/m (10)

a = 4.4347 Å, b = 3.3699 Å, c = 5.2771 Å
α = 104.52°, β = 90.00°, γ = 90.00°
Fractional positions:
Mo 0.5000 0.7500 0.7500
Al 0.5000 0.2500 0.2500
Se 0.0000 0.7355 0.4981
Se 0.0000 0.7645 0.0019

---

[3]
## AlMoSe (PBE-GGA)

Data for a geometry-optimized AlMoSe structure.

Output
**Uncorrected energy**: -6.1178 eV per atom
**Total moment**: 0.0 μB/f.u.
**V**: 50.0 Å³/cell
**E above lowest polymorph**: 80 meV/atom
**SG**: I4mm (107)

a = 5.2988 Å, b = 5.2989 Å, c = 3.2326 Å
α = 72.24°, β = 72.24°, γ = 35.52°
Fractional positions:
Se 0.6905 0.6905 0.3095
Mo 0.3197 0.3197 0.6803
Al 0.9898 0.9898 0.0102

---

[4]
## AlMoSe2 (PBE-GGA)

Data for a geometry-optimized AlMoSe2 structure.

Output
**Uncorrected energy**: -5.5594 eV per atom
**Total moment**: 0.0 μB/f.u.
**V**: 81.6 Å³/cell
**SG**: R-3m (166)

a = 9.2297 Å, b = 9.2297 Å, c = 9.2297 Å
α = 20.15°, β = 20.15°, γ = 20.15°
Fractional positions:
Se 0.1020 0.1020 0.1020
Se 0.8980 0.8980 0.8980
Mo 0.5000 0.5000 0.5000
Al 0.0000 0.0000 0.0000